Record 1
DFT (PBEsol) results for a relaxed SrRhBr crystal.

Its distance to the lowest polymorph of the same formula is 0.0 meV per atom.

The structure belongs to space group Amm2 (No. 38); the cell edges are 3.988, 4.478 and 7.456 Å and the angles 90.00°, 90.00° and 90.00°. Symmetry generates all atoms from Sr at (0.000, 0.000, 0.000), Rh at (0.500, 0.000, 0.318) and Br at (0.500, 0.000, 0.672).


Record 2
DFT (PBEsol) results for a relaxed TaRhBr2 crystal.

Its distance to the lowest polymorph of the same formula is 630.5 meV per atom.

The structure belongs to space group Cmmm (No. 65); the cell edges are 3.004, 5.667 and 8.769 Å and the angles 90.00°, 90.00° and 90.00°. Symmetry generates all atoms from Ta at (0.000, 0.000, 0.000), Rh at (0.000, 0.000, 0.500) and Br at (0.000, 0.500, 0.249).


Record 3
DFT (PBEsol) results for a relaxed TaRhBr2 crystal.

Its distance to the lowest polymorph of the same formula is 558.2 meV per atom.

The structure belongs to space group C2/m (No. 12); the cell edges are 5.967, 8.673 and 3.129 Å and the angles 90.00°, 117.07° and 90.00°. Symmetry generates all atoms from Ta at (0.000, 0.000, 0.000), Rh at (0.000, 0.500, 0.000) and Br at (0.250, 0.250, 0.000).


Record 4
DFT (PBEsol) results for a relaxed TaRhBr3 crystal.

The structure belongs to space group Pm-3m (No. 221); the cell edges are 5.011, 5.011 and 5.011 Å and the angles 90.00°, 90.00° and 90.00°. Symmetry generates all atoms from Ta at (0.000, 0.000, 0.000), Rh at (0.500, 0.500, 0.500) and Br at (0.000, 0.000, 0.500).


Record 5
DFT (PBEsol) results for a relaxed TaRhBr2 crystal.

Its distance to the lowest polymorph of the same formula is 0.0 meV per atom.

The structure belongs to space group C2/m (No. 12); the cell edges are 13.757, 3.223 and 4.217 Å and the angles 90.00°, 95.41° and 90.00°. Symmetry generates all atoms from Ta at (0.000, 0.000, 0.000), Rh at (0.000, 0.500, 0.500) and Br at (0.149, 0.500, 0.201).


Record 6
DFT (PBEsol) results for a relaxed Tb7RhBr12 crystal.

The structure belongs to space group R-3 (No. 148, hexagonal axes); the cell edges are 14.5819, 14.5819 and 9.8429 Å and the angles 90.00°, 90.00° and 120.00°. Symmetry generates all atoms from Tb at (0.0000, 0.0000, 0.0000), Tb at (0.0452, 0.1665, 0.3458), Rh at (0.0000, 0.0000, 0.5000), Br at (0.0215, 0.5870, 0.1610) and Br at (0.0496, 0.1817, 0.8446).


Short version: energy relative to the elements, uncorrected = -598.5; 528.7; 456.4; 761.6; -101.8; -1598.0 meV/atom, in the order given.
Short version: spin magnetization = 0.00; 0.00; 0.00; 0.21; 0.00; 0.00 μB/atom, in the order given.
Short version: VASP energy = -4.548; -5.579; -5.651; -4.498; -6.209; -4.880 eV per atom, in the order given.